1.
NdNiBiRh: optimized geometry, PBE.

Summary:
* total magnetic moment: 0.0001 μB per atom
* N(E_F): 3.88 states/eV per cell
* DFT formation energy: -31 kJ per mole of atoms

abc: 4.854 4.854 4.854
angles: 60.00 60.00 60.00
Atoms (fractional coordinates):
Nd  0.000  0.000  0.000
Ni  0.750  0.750  0.750
Bi  0.500  0.500  0.500
Rh  0.250  0.250  0.250

***

2.
FeSnTe2: optimized geometry, PBE.

Summary:
* total magnetic moment: 0.6979 μB per atom
* N(E_F): 5.40 states/eV per cell
* formation energy without anion corrections: 0.497 eV/atom

abc: 12.061 12.061 12.061
angles: 15.39 15.39 15.39
Atoms (fractional coordinates):
Fe  0.000  0.000  0.000
Sn  0.500  0.500  0.500
Te  0.071  0.071  0.071
Te  0.929  0.929  0.929

***

3.
ZrGa2WI: optimized geometry, PBE.

Summary:
* total magnetic moment: 0.1390 μB per atom
* N(E_F): 4.02 states/eV per cell
* formation energy without anion corrections: 1.774 eV/atom

abc: 5.239 5.239 4.919
angles: 90.00 90.00 90.00
Atoms (fractional coordinates):
Zr  0.000  0.000  0.000
Ga  0.000  0.500  0.500
Ga  0.500  0.000  0.500
W  0.500  0.500  0.000
I  0.500  0.500  0.500

***

4.
MgSCl2: optimized geometry, PBE.

Summary:
* total magnetic moment: 0.5000 μB per atom
* N(E_F): 0.45 states/eV per cell
* formation energy without anion corrections: -0.637 eV/atom

abc: 6.876 6.876 6.876
angles: 98.44 98.44 134.94
Atoms (fractional coordinates):
Mg  0.000  0.000  0.000
Mg  0.750  0.250  0.500
S  0.250  0.750  0.500
S  0.500  0.500  0.000
Cl  0.375  0.027  0.152
Cl  0.777  0.625  0.652
Cl  0.875  0.223  0.848
Cl  0.973  0.125  0.348

***

5.
CsRb4Na3: optimized geometry, PBE.

Summary:
* total magnetic moment: 0.0000 μB per atom
* N(E_F): 12.63 states/eV per cell
* DFT formation energy: 4 kJ per mole of atoms

abc: 13.721 12.041 6.837
angles: 90.00 90.00 90.00
Atoms (fractional coordinates):
Cs  0.000  0.000  0.000
Cs  0.500  0.000  0.000
Rb  0.000  0.284  0.500
Rb  0.000  0.716  0.500
Rb  0.250  0.285  0.001
Rb  0.250  0.715  0.001
Rb  0.500  0.284  0.500
Rb  0.500  0.716  0.500
Rb  0.750  0.285  0.999
Rb  0.750  0.715  0.999
Na  0.000  0.500  0.000
Na  0.250  0.000  0.500
Na  0.250  0.500  0.500
Na  0.500  0.500  0.000
Na  0.750  0.000  0.500
Na  0.750  0.500  0.500

***

6.
ZnGaH: optimized geometry, PBE.

Summary:
* total magnetic moment: 0.0000 μB per atom
* N(E_F): 0.98 states/eV per cell

abc: 4.459 4.459 7.096
angles: 93.15 93.15 37.68
Atoms (fractional coordinates):
Zn  0.150  0.150  0.086
Zn  0.850  0.850  0.914
Ga  0.057  0.057  0.674
Ga  0.943  0.943  0.326
H  0.311  0.311  0.329
H  0.689  0.689  0.671

***

7.
Pr2Mg5: optimized geometry, PBE.

Summary:
* total magnetic moment: 0.0000 μB per atom
* N(E_F): 10.49 states/eV per cell
* DFT formation energy: -4 kJ per mole of atoms

abc: 8.890 8.890 8.890
angles: 130.06 71.26 132.66
Atoms (fractional coordinates):
Pr  0.108  0.201  0.309
Pr  0.392  0.701  0.092
Pr  0.608  0.299  0.908
Pr  0.892  0.799  0.691
Mg  0.016  0.750  0.266
Mg  0.128  0.752  0.880
Mg  0.250  0.750  0.500
Mg  0.372  0.252  0.623
Mg  0.484  0.750  0.734
Mg  0.516  0.250  0.266
Mg  0.628  0.748  0.377
Mg  0.750  0.250  0.500
Mg  0.872  0.248  0.120
Mg  0.984  0.250  0.734

***

8.
Ac5DyS6: optimized geometry, PBE.

Summary:
* total magnetic moment: 0.0000 μB per atom
* N(E_F): 5.55 states/eV per cell
* formation energy without anion corrections: -1.986 eV/atom

abc: 7.348 7.348 7.357
angles: 99.66 99.66 120.06
Atoms (fractional coordinates):
Ac  0.000  0.000  0.000
Ac  0.166  0.834  0.500
Ac  0.329  0.671  0.000
Ac  0.671  0.329  0.000
Ac  0.834  0.166  0.500
Dy  0.500  0.500  0.500
S  0.106  0.422  0.264
S  0.265  0.265  0.743
S  0.422  0.106  0.264
S  0.578  0.894  0.736
S  0.735  0.735  0.257
S  0.894  0.578  0.736

***

9.
AcPmPr3Y: optimized geometry, PBE.

Summary:
* total magnetic moment: 0.0000 μB per atom
* N(E_F): 20.20 states/eV per cell
* DFT formation energy: 3 kJ per mole of atoms

abc: 8.329 5.286 10.555
angles: 90.00 108.69 90.00
Atoms (fractional coordinates):
Ac  0.170  0.250  0.293
Ac  0.830  0.750  0.707
Pm  0.497  0.750  0.876
Pm  0.503  0.250  0.124
Pr  0.171  0.750  0.546
Pr  0.172  0.250  0.793
Pr  0.172  0.750  0.040
Pr  0.828  0.250  0.960
Pr  0.828  0.750  0.207
Pr  0.829  0.250  0.454
Y  0.498  0.250  0.627
Y  0.502  0.750  0.373

***

10.
SnCI2: optimized geometry, PBE.

Summary:
* total magnetic moment: 0.0000 μB per atom
* N(E_F): 7.50 states/eV per cell
* formation energy without anion corrections: 1.384 eV/atom

abc: 7.569 7.569 7.569
angles: 127.29 127.29 77.78
Atoms (fractional coordinates):
Sn  0.000  0.000  0.000
Sn  0.750  0.250  0.500
C  0.250  0.750  0.500
C  0.500  0.500  0.000
I  0.273  0.625  0.148
I  0.375  0.523  0.648
I  0.477  0.125  0.852
I  0.875  0.727  0.352

***

11.
Ho3ScTl: optimized geometry, PBE.

Summary:
* total magnetic moment: 0.0000 μB per atom
* N(E_F): 12.52 states/eV per cell
* DFT formation energy: 6 kJ per mole of atoms

abc: 8.907 8.907 10.524
angles: 106.20 106.20 21.97
Atoms (fractional coordinates):
Ho  0.004  0.004  0.237
Ho  0.198  0.198  0.859
Ho  0.315  0.315  0.639
Ho  0.685  0.685  0.361
Ho  0.802  0.802  0.141
Ho  0.996  0.996  0.763
Sc  0.405  0.405  0.961
Sc  0.595  0.595  0.039
Tl  0.104  0.104  0.555
Tl  0.896  0.896  0.445

***

12.
Pm4PtRhCl2: optimized geometry, PBE.

Summary:
* total magnetic moment: 0.0000 μB per atom
* N(E_F): 4.81 states/eV per cell
* formation energy without anion corrections: -1.264 eV/atom

abc: 7.170 4.112 7.849
angles: 90.00 108.18 90.00
Atoms (fractional coordinates):
Pm  0.234  0.000  0.205
Pm  0.257  0.500  0.795
Pm  0.743  0.500  0.205
Pm  0.766  0.000  0.795
Pt  0.500  0.000  0.000
Rh  0.000  0.500  0.000
Cl  0.000  0.000  0.500
Cl  0.500  0.500  0.500

***

| no. | raw total energy (eV/cell) |
| --- | --- |
| 1 | -23.08 |
| 2 | -16.76 |
| 3 | -20.24 |
| 4 | -23.93 |
| 5 | -16.75 |
| 6 | -14.08 |
| 7 | -35.63 |
| 8 | -73.74 |
| 9 | -58.98 |
| 10 | -21.58 |
| 11 | -44.23 |
| 12 | -46.20 |